[1]
A relaxed BaMgPbCl6 crystal, computed with PBE.

Values from the calculation:
DFT total energy: -3.86 eV/atom
Theoretical density: 3.380 g cm⁻³

Structure (CIF):
```
data_BaMgPbCl6
_cell_length_a 7.0954
_cell_length_b 7.0954
_cell_length_c 13.1049
_cell_angle_alpha 90.00
_cell_angle_beta 90.00
_cell_angle_gamma 120.00
_space_group_name_H-M_alt 'P -3 1 c'
_space_group_IT_number 163
_space_group_name_Hall '-P 3 2c'
loop_
_atom_site_label
_atom_site_fract_x
_atom_site_fract_y
_atom_site_fract_z
Ba1 0.0000 0.0000 0.0000
Mg1 0.3333 0.6667 0.2500
Pb1 0.3333 0.6667 0.7500
Cl1 0.0392 0.3788 0.1367
```

[2]
A relaxed Ba3HoAl2O8 crystal, computed with PBE.

Values from the calculation:
DFT total energy: -6.97 eV/atom
Theoretical density: 5.453 g cm⁻³

Structure (CIF):
```
data_Ba3HoAl2O8
_cell_length_a 5.9336
_cell_length_b 5.9336
_cell_length_c 7.5789
_cell_angle_alpha 90.00
_cell_angle_beta 90.00
_cell_angle_gamma 120.00
_space_group_name_H-M_alt 'P -3 m 1'
_space_group_IT_number 164
_space_group_name_Hall '-P 3 2"'
loop_
_atom_site_label
_atom_site_fract_x
_atom_site_fract_y
_atom_site_fract_z
Ba1 0.0000 0.0000 0.0000
Ba2 0.3333 0.6667 0.6665
Ho1 0.0000 0.0000 0.5000
Al1 0.3333 0.6667 0.2302
O1 0.1729 0.3459 0.3188
O2 0.3333 0.6667 0.9990
```